1.
A plane-wave DFT calculation with GGA-PBE was carried out for a relaxed TeMoAu2 crystal.

Lattice parameters (Å, degrees): 5.668 9.365 2.889 90.00 90.00 90.00
Space group Cmmm (No. 65)
Inequivalent atoms, fractional coordinates:
1 Te 0.000 0.000 0.000 (multiplicity 2)
2 Mo 0.000 0.500 0.000 (multiplicity 2)
3 Au 0.250 0.250 0.500 (multiplicity 4)

Calculated values
- magnetization (μB/f.u.) = 0.00
- DFT total energy (eV/atom) = -4.642
- ΔE_f (raw) (eV per atom) = 0.490

***

2.
A plane-wave DFT calculation with GGA-PBE was carried out for a relaxed Te3MoAu crystal.

Lattice parameters (Å, degrees): 5.397 5.397 5.397 90.00 90.00 90.00
Space group Pm-3m (No. 221)
Inequivalent atoms, fractional coordinates:
1 Te 0.000 0.000 0.500 (multiplicity 3)
2 Mo 0.500 0.500 0.500 (multiplicity 1)
3 Au 0.000 0.000 0.000 (multiplicity 1)

Calculated values
- magnetization (μB/f.u.) = 3.26
- DFT total energy (eV/atom) = -3.594
- ΔE_f (raw) (eV per atom) = 1.113

***

3.
A plane-wave DFT calculation with GGA-PBE was carried out for a relaxed TeMo2Au crystal.

Lattice parameters (Å, degrees): 3.323 4.874 9.756 90.00 90.00 90.00
Space group Cmm2 (No. 35)
Inequivalent atoms, fractional coordinates:
1 Te 0.000 0.000 0.000 (multiplicity 2)
2 Mo 0.000 0.000 0.550 (multiplicity 2)
3 Mo 0.000 0.500 0.746 (multiplicity 2)
4 Au 0.000 0.500 0.314 (multiplicity 2)

Calculated values
- magnetization (μB/f.u.) = 0.00
- DFT total energy (eV/atom) = -6.625
- ΔE_f (raw) (eV per atom) = 0.395

***

4.
A plane-wave DFT calculation with GGA-PBE was carried out for a relaxed Te3MoAu crystal.

Lattice parameters (Å, degrees): 5.263 5.263 5.263 90.00 90.00 90.00
Space group Pm-3m (No. 221)
Inequivalent atoms, fractional coordinates:
1 Te 0.000 0.000 0.500 (multiplicity 3)
2 Mo 0.000 0.000 0.000 (multiplicity 1)
3 Au 0.500 0.500 0.500 (multiplicity 1)

Calculated values
- magnetization (μB/f.u.) = 0.00
- DFT total energy (eV/atom) = -4.101
- ΔE_f (raw) (eV per atom) = 0.606

***

5.
A plane-wave DFT calculation with GGA-PBE was carried out for a relaxed TeMo2Au crystal.

Lattice parameters (Å, degrees): 3.173 4.154 5.892 90.00 104.83 90.00
Space group P2/m (No. 10)
Inequivalent atoms, fractional coordinates:
1 Te 0.000 0.000 0.000 (multiplicity 1)
2 Mo 0.390 0.500 0.283 (multiplicity 2)
3 Au 0.000 0.000 0.500 (multiplicity 1)

Calculated values
- magnetization (μB/f.u.) = 0.00
- DFT total energy (eV/atom) = -6.495
- ΔE_f (raw) (eV per atom) = 0.525

***

6.
A plane-wave DFT calculation with GGA-PBE was carried out for a relaxed TeMoAu2 crystal.

Lattice parameters (Å, degrees): 9.838 3.298 5.568 90.00 117.25 90.00
Space group Cm (No. 8)
Inequivalent atoms, fractional coordinates:
1 Te 0.000 0.000 0.000 (multiplicity 2)
2 Mo 0.288 0.000 0.996 (multiplicity 2)
3 Au 0.084 0.500 0.571 (multiplicity 2)
4 Au 0.321 0.500 0.433 (multiplicity 2)

Calculated values
- magnetization (μB/f.u.) = 0.00
- DFT total energy (eV/atom) = -4.861
- ΔE_f (raw) (eV per atom) = 0.271

***

7.
A plane-wave DFT calculation with GGA-PBE was carried out for a relaxed TeMoAu crystal.

Lattice parameters (Å, degrees): 3.2441 3.2441 7.0553 90.00 90.00 120.00
Space group P3m1 (No. 156)
Inequivalent atoms, fractional coordinates:
1 Te 0.0000 0.0000 0.0000 (multiplicity 1)
2 Mo 0.3333 0.6667 0.7272 (multiplicity 1)
3 Au 0.6667 0.3333 0.4222 (multiplicity 1)

Calculated values
- magnetization (μB/f.u.) = 0.00
- DFT total energy (eV/atom) = -5.412
- ΔE_f (raw) (eV per atom) = 0.338

***

8.
A plane-wave DFT calculation with GGA-PBE was carried out for a relaxed TeMoAu2 crystal.

Lattice parameters (Å, degrees): 7.836 7.836 5.404 90.00 90.00 90.00
Space group I-42d (No. 122)
Inequivalent atoms, fractional coordinates:
1 Te 0.000 0.000 0.000 (multiplicity 4)
2 Mo 0.000 0.000 0.500 (multiplicity 4)
3 Au 0.242 0.750 0.625 (multiplicity 8)

Calculated values
- magnetization (μB/f.u.) = 1.50
- DFT total energy (eV/atom) = -4.673
- ΔE_f (raw) (eV per atom) = 0.459

***

Which value of magnetization does entry 8 give?
1.50 μB/f.u.